No. 1
The following is a PBEsol calculation of a relaxed structure of MgTlAs2, from Alexandria via LeMat-Bulk.

Summary:
E_tot (eV/atom): -3.584
Energy of formation from the pure elements (eV/atom): 0.056
Polymorph energy (0 for the lowest one) (kJ/mol of atoms): 19.9
Total magnetic moment (μB/atom): 0.0002

Cell and atoms, written as extended XYZ:
```
8
Lattice="6.234 0.000 0.000 0.000 6.234 0.000 -3.117 -3.117 5.851" Properties=species:S:1:pos:R:3 pbc="T T T"
Mg 3.117 3.117 0.000
Mg 3.117 0.000 2.925
As 1.558 1.511 4.388
As 4.628 1.558 1.463
As 1.606 4.675 1.463
As -1.558 -1.511 4.388
Tl 0.000 3.117 2.925
Tl 0.000 0.000 0.000
```

=====

No. 2
The following is a PBEsol calculation of a relaxed structure of Mg2TlAs, from Alexandria via LeMat-Bulk.

Summary:
E_tot (eV/atom): -3.009
Energy of formation from the pure elements (eV/atom): -0.217
Polymorph energy (0 for the lowest one) (kJ/mol of atoms): 1.6
Total magnetic moment (μB/atom): 0.0000

Cell and atoms, written as extended XYZ:
```
4
Lattice="-0.123 3.257 -1.751 1.562 -1.732 -3.330 -6.273 -2.021 0.591" Properties=species:S:1:pos:R:3 pbc="T T T"
Mg -2.888 -0.655 -1.014
Mg 0.119 -1.016 -1.898
Tl -4.253 -2.007 -3.432
As -1.805 0.190 -3.427
```

=====

No. 3
The following is a PBEsol calculation of a relaxed structure of Mg2TlAs, from Alexandria via LeMat-Bulk.

Summary:
E_tot (eV/atom): -2.976
Energy of formation from the pure elements (eV/atom): -0.183
Polymorph energy (0 for the lowest one) (kJ/mol of atoms): 4.9
Total magnetic moment (μB/atom): 0.0000

Cell and atoms, written as extended XYZ:
```
4
Lattice="3.927 0.000 0.000 0.000 4.657 0.000 0.000 0.000 4.660" Properties=species:S:1:pos:R:3 pbc="T T T"
Tl 1.963 2.329 0.000
As 1.963 0.000 2.330
Mg 0.000 2.329 2.330
Mg 0.000 0.000 0.000
```

=====

No. 4
The following is a PBEsol calculation of a relaxed structure of Mg2TlAs, from Alexandria via LeMat-Bulk.

Summary:
E_tot (eV/atom): -3.026
Energy of formation from the pure elements (eV/atom): -0.233
Polymorph energy (0 for the lowest one) (kJ/mol of atoms): 0.0
Total magnetic moment (μB/atom): 0.0000

Cell and atoms, written as extended XYZ:
```
4
Lattice="4.048 0.000 0.000 -2.024 3.520 -0.032 0.000 -2.257 6.693" Properties=species:S:1:pos:R:3 pbc="T T T"
Mg 2.024 0.057 4.577
Mg 0.000 1.205 2.084
As 0.000 -1.129 3.346
Tl 2.024 0.000 0.000
```

=====

No. 5
The following is a PBEsol calculation of a relaxed structure of MgTlAs2, from Alexandria via LeMat-Bulk.

Summary:
E_tot (eV/atom): -3.611
Energy of formation from the pure elements (eV/atom): 0.029
Polymorph energy (0 for the lowest one) (kJ/mol of atoms): 17.3
Total magnetic moment (μB/atom): 0.0001

Cell and atoms, written as extended XYZ:
```
4
Lattice="3.756 0.000 0.000 0.000 4.854 0.074 0.000 -1.333 4.668" Properties=species:S:1:pos:R:3 pbc="T T T"
As 0.000 -0.667 2.334
As 0.000 2.427 0.037
Tl 1.878 1.760 2.371
Mg 1.878 0.000 0.000
```

=====

No. 6
The following is a PBEsol calculation of a relaxed structure of MgAs2W, from Alexandria via LeMat-Bulk.

Summary:
E_tot (eV/atom): -6.547
Energy of formation from the pure elements (eV/atom): -0.112
Total magnetic moment (μB/atom): 0.0000

Cell and atoms, written as extended XYZ:
```
4
Lattice="3.189 0.000 0.000 0.000 3.189 0.000 0.000 0.000 6.630" Properties=species:S:1:pos:R:3 pbc="T T T"
As 0.000 0.000 1.874
As 0.000 0.000 4.756
Mg 1.594 1.594 0.000
W 1.594 1.594 3.315
```